No. 1
VASP calculation (SCAN) on a crystal of TaCdBi2O relaxed with PBEsol.

Results
ΔE_f (raw): 1851 meV/atom
Size of the total moment: 3.31 μB per formula unit

Unit cell a=5.231 b=5.448 c=5.448 alpha=90.00 beta=90.00 gamma=90.00
Last column: magnetic moment on the atom in μB.
Fractional positions:
Cd: 0.000 0.000 0.000  0.04
Bi: 0.000 0.000 0.500  -0.02
Bi: 0.000 0.500 0.000  -0.02
O: 0.500 0.500 0.500  1.09
Ta: 0.500 0.000 0.000  1.39

No. 2
VASP calculation (SCAN) on a crystal of KCaTeN2 relaxed with PBEsol.

Results
ΔE_f (raw): 571 meV/atom
Size of the total moment: 5.02 μB per formula unit

Unit cell a=4.836 b=4.836 c=6.052 alpha=90.00 beta=90.00 gamma=90.00
Last column: magnetic moment on the atom in μB.
Fractional positions:
Ca: 0.000 0.000 0.000  -0.01
Te: 0.000 0.000 0.500  0.37
K: 0.500 0.500 0.500  0.01
N: 0.000 0.500 0.000  1.42
N: 0.500 0.000 0.000  1.42

No. 3
VASP calculation (SCAN) on a crystal of CuTe2Au relaxed with PBEsol.

Results
ΔE_f (raw): -64 meV/atom
Size of the total moment: 0.00 μB per formula unit

Unit cell a=4.441 b=4.441 c=4.551 alpha=90.00 beta=90.00 gamma=103.50
Fractional positions:
Te: 0.069 0.931 0.000
Te: 0.687 0.313 0.500
Au: 0.474 0.526 0.000
Cu: 0.270 0.729 0.500

No. 4
VASP calculation (SCAN) on a crystal of NiAg2Cl relaxed with PBEsol.

Results
ΔE to the lowest computed polymorph: 0.000 eV/atom
ΔE_f (raw): 318 meV/atom
Size of the total moment: 1.04 μB per formula unit

Unit cell a=3.831 b=3.831 c=4.338 alpha=90.00 beta=90.00 gamma=90.00
Last column: magnetic moment on the atom in μB.
Fractional positions:
Ni: 0.000 0.000 0.500  1.00
Ag: 0.000 0.500 0.000  -0.01
Ag: 0.500 0.000 0.000  -0.01
Cl: 0.500 0.500 0.500  0.05

No. 5
VASP calculation (SCAN) on a crystal of MgTaOF2 relaxed with PBEsol.

Results
ΔE_f (raw): -1831 meV/atom
Size of the total moment: 1.09 μB per formula unit

Unit cell a=3.910 b=4.305 c=4.305 alpha=90.00 beta=90.00 gamma=90.00
Last column: magnetic moment on the atom in μB.
Fractional positions:
Mg: 0.500 0.500 0.500  -0.13
F: 0.000 0.000 0.500  0.03
F: 0.000 0.500 0.000  0.03
O: 0.500 0.000 0.000  -0.09
Ta: 0.000 0.000 0.000  1.19

No. 6
VASP calculation (SCAN) on a crystal of Li2ZnAu relaxed with PBEsol.

Results
Size of the total moment: 0.00 μB per formula unit
Energy of formation: -0.421 eV per atom

Unit cell a=2.776 b=4.728 c=4.728 alpha=110.68 beta=90.00 gamma=90.00
Fractional positions:
Zn: 0.500 0.000 0.000
Au: 0.500 0.500 0.500
Li: 0.000 0.500 0.000
Li: 0.000 0.000 0.500

No. 7
VASP calculation (SCAN) on a crystal of NaTiI3 relaxed with PBEsol.

Results
ΔE_f (raw): -792 meV/atom
Size of the total moment: 2.00 μB per formula unit

Unit cell a=5.623 b=5.623 c=5.623 alpha=90.00 beta=90.00 gamma=90.00
Last column: magnetic moment on the atom in μB.
Fractional positions:
I: 0.000 0.500 0.000  -0.01
I: 0.000 0.000 0.500  -0.01
I: 0.500 0.000 0.000  -0.01
Na: 0.500 0.500 0.500  0.00
Ti: 0.000 0.000 0.000  1.66

No. 8
VASP calculation (SCAN) on a crystal of Ho2Si5Rh3 relaxed with PBEsol.

Results
ΔE_f (raw): -1064 meV/atom
Size of the total moment: 0.00 μB per formula unit

Unit cell a=5.650 b=8.058 c=8.058 alpha=74.76 beta=69.48 gamma=69.48
Fractional positions:
Ho: 0.868 0.363 0.901
Ho: 0.132 0.637 0.099
Ho: 0.368 0.901 0.363
Ho: 0.632 0.099 0.637
Si: 0.029 0.721 0.721
Si: 0.971 0.279 0.279
Si: 0.471 0.279 0.279
Si: 0.529 0.721 0.721
Si: 0.605 0.555 0.236
Si: 0.395 0.445 0.764
Si: 0.105 0.236 0.555
Si: 0.895 0.764 0.445
Si: 0.750 0.000 0.000
Si: 0.250 0.000 0.000
Rh: 0.640 0.751 0.968
Rh: 0.360 0.249 0.032
Rh: 0.140 0.968 0.751
Rh: 0.860 0.032 0.249
Rh: 0.750 0.500 0.500
Rh: 0.250 0.500 0.500

> size of the total moment of number 2 (KCaTeN2)?

5.02 μB per formula unit

Repeat the fourth record exactly.
VASP calculation (SCAN) on a crystal of NiAg2Cl relaxed with PBEsol.

Results
ΔE to the lowest computed polymorph: 0.000 eV/atom
ΔE_f (raw): 318 meV/atom
Size of the total moment: 1.04 μB per formula unit

Unit cell a=3.831 b=3.831 c=4.338 alpha=90.00 beta=90.00 gamma=90.00
Last column: magnetic moment on the atom in μB.
Fractional positions:
Ni: 0.000 0.000 0.500  1.00
Ag: 0.000 0.500 0.000  -0.01
Ag: 0.500 0.000 0.000  -0.01
Cl: 0.500 0.500 0.500  0.05